Entry 1:
Density functional theory data (PBE) for crystalline SrCaSb at its relaxed geometry.

The structure belongs to space group F-43m (No. 216); the cell edges are 7.7891, 7.7891 and 7.7891 Å and the angles 90.00°, 90.00° and 90.00°. The distinct sites, in fractional coordinates, are Sr at (0.0000, 0.0000, 0.0000), Ca at (0.2500, 0.2500, 0.7500) and Sb at (0.2500, 0.2500, 0.2500).

For the density of states at the Fermi level, the calculation gives 6.88 states/eV per cell. The total magnetic moment comes out at 0.0 Bohr magnetons per cell. The calculation puts the formation energy without anion corrections at -22 kJ per mole of atoms.

***

Entry 2:
Density functional theory data (PBE) for crystalline Sr5CaSb4 at its relaxed geometry.

The structure belongs to space group C2/m (No. 12); the cell edges are 18.3105, 5.2275 and 8.2532 Å and the angles 90.00°, 94.86° and 90.00°. The distinct sites, in fractional coordinates, are Sr at (0.0000, 0.0000, 0.0000), Sr at (0.1553, 0.5000, 0.4770), Sr at (0.1662, 0.5000, 0.9968), Ca at (0.0000, 0.0000, 0.5000), Sb at (0.0229, 0.5000, 0.7402) and Sb at (0.1904, 0.0000, 0.2444).

For the density of states at the Fermi level, the calculation gives 0.70 states/eV per cell. The total magnetic moment comes out at 0.0 Bohr magnetons per cell. The value obtained for the energy above the most stable polymorph in this dataset is 0.000 eV/f.u. The calculation puts the formation energy without anion corrections at -92 kJ per mole of atoms.

***

Entry 3:
Density functional theory data (PBE) for crystalline Sr3CaSb2 at its relaxed geometry.

The structure belongs to space group Immm (No. 71); the cell edges are 4.9688, 5.0083 and 17.6390 Å and the angles 90.00°, 90.00° and 90.00°. The distinct sites, in fractional coordinates, are Sr at (0.0000, 0.0000, 0.0000), Sr at (0.0000, 0.5000, 0.3237), Ca at (0.0000, 0.0000, 0.5000) and Sb at (0.0000, 0.5000, 0.1331).

For the density of states at the Fermi level, the calculation gives 4.13 states/eV per cell. The total magnetic moment comes out at 0.0 Bohr magnetons per cell. The value obtained for the energy above the most stable polymorph in this dataset is 0.000 eV/f.u. The calculation puts the formation energy without anion corrections at -86 kJ per mole of atoms.